Here is Ba2MoW3O12 after structural relaxation from Alexandria via LeMat-Bulk. Energies are from PBE with a Hubbard U.

The structure in POSCAR format:
```
Ba2MoW3O12
1.0
7.4318 -0.0331 -0.0235
3.6414 6.4786 -0.0235
3.6414 2.1196 6.1221
O W Ba Mo
12 3 2 1
Cartesian
7.8766 1.8150 4.2222 O
9.2465 2.6123 1.8529 O
11.4560 6.6683 2.0506 O
3.2586 4.4253 0.4597 O
11.4560 4.1398 5.6155 O
3.2586 1.8968 4.0245 O
6.8379 3.9802 5.7580 O
7.8766 4.5849 0.3171 O
5.4681 5.9528 4.2222 O
9.2573 7.9170 5.6155 O
6.8379 6.7501 1.8529 O
5.4572 0.6481 0.4597 O
1.8207 1.0598 3.0611 W
1.8207 3.2393 -0.0118 W
3.7159 -0.0166 -0.0118 W
9.9194 5.7739 4.0954 Ba
4.7951 2.7912 1.9797 Ba
0.0000 0.0000 0.0000 Mo
```

Properties
- Theoretical density: 6.24 Mg/m³
- Symmetry: R-3m, No. 166
- Magnetization: 4.0 μB/f.u.
- Electronic total energy: -7.29 eV per atom